Here is SnPdAu3 after structural relaxation from Alexandria via LeMat-Bulk. Energies are from PBE.

abc: 5.3490 7.6022 5.4750
angles: 90.00 117.17 90.00
Closest atoms and distances in Å follow each position.
Space group P2_1/m (No. 11)
Inequivalent atoms, fractional coordinates:
Sn 0.1198 0.2500 0.3087  2 Pd 2.67-2.70, 6 Au 2.70-2.97
Pd 0.3528 0.7500 0.6380  2 Sn 2.67-2.70, 6 Au 2.80-2.92
Au 0.1738 0.2500 0.8230  2 Sn 2.70-2.80, 2 Pd 2.80-2.88, 4 Au 2.91-2.95
Au 0.3350 0.5642 0.1628  4 Au 2.82-3.10, 2 Pd 2.83-2.92, 2 Sn 2.92-2.97

Properties
- DFT formation energy (meV/atom) = -91
- mass density (Mg/m³) = 13.68
- offset from the most stable computed form (eV/atom) = 0.000
- total moment (Bohr magnetons per cell) = 0.00

Here is Sn2Pd2Au3 after structural relaxation from Alexandria via LeMat-Bulk. Energies are from PBE.

abc: 9.3792 3.5564 7.8963
angles: 90.00 92.40 90.00
Closest atoms and distances in Å follow each position.
Space group C2/m (No. 12)
Inequivalent atoms, fractional coordinates:
Sn 0.0740 0.0000 0.3124  5 Pd 2.74-2.86, 3 Au 2.95-3.05
Pd 0.1440 0.5000 0.5818  5 Sn 2.74-2.86, 2 Au 2.88, 3 Pd 2.95-3.00
Au 0.0000 0.5000 0.0000  6 Au 2.88-2.91, 4 Sn 3.10
Au 0.2114 0.0000 0.8601  2 Pd 2.88, 5 Au 2.88-2.91, 3 Sn 2.95-3.05

Properties
- DFT formation energy (meV/atom) = -250
- mass density (Mg/m³) = 13.14
- offset from the most stable computed form (eV/atom) = 0.000
- total moment (Bohr magnetons per cell) = 0.00